[1]
A plane-wave DFT calculation with PBE was carried out for a relaxed structure of Sr3LiAs6.

Results
- space group = R-3c, No. 167
- density of states at the Fermi level (states/eV/atom) = 0.483
- DFT total energy (eV/cell) = -83.08
- total moment (μB per atom) = 0.000

Lattice parameters (Å, degrees): 8.1453 8.1453 8.1453 98.87 98.87 98.87
Positions (direct):
Sr (0.1855, 0.7500, 0.3145)
As (0.0172, 0.0878, 0.3879)
As (0.9828, 0.9122, 0.6121)
As (0.0878, 0.3879, 0.0172)
As (0.8879, 0.5878, 0.5172)
Sr (0.8145, 0.2500, 0.6855)
As (0.5878, 0.5172, 0.8879)
Sr (0.2500, 0.6855, 0.8145)
As (0.5172, 0.8879, 0.5878)
As (0.3879, 0.0172, 0.0878)
Sr (0.3145, 0.1855, 0.7500)
Sr (0.6855, 0.8145, 0.2500)
Sr (0.7500, 0.3145, 0.1855)
As (0.4828, 0.1121, 0.4122)
Li (0.5000, 0.5000, 0.5000)
As (0.1121, 0.4122, 0.4828)
As (0.4122, 0.4828, 0.1121)
Li (0.0000, 0.0000, 0.0000)
As (0.6121, 0.9828, 0.9122)
As (0.9122, 0.6121, 0.9828)

=====

[2]
A plane-wave DFT calculation with PBE was carried out for a relaxed structure of SrLi2As.

Results
- space group = Cmmm, No. 65
- density of states at the Fermi level (states/eV/atom) = 0.604
- DFT total energy (eV/cell) = -11.29
- total moment (μB per atom) = 0.103

Lattice parameters (Å, degrees): 3.8461 3.8461 6.5088 90.00 90.00 91.74
Last column: magnetic moment on the atom in μB.
Positions (direct):
Li (0.0000, 0.0000, 0.5707)  0.02
As (0.5000, 0.5000, 0.7500)  0.01
Li (0.0000, 0.0000, 0.9293)  0.02
Sr (0.5000, 0.5000, 0.2500)  0.05

=====

[3]
A plane-wave DFT calculation with PBE was carried out for a relaxed structure of SrLi2As.

Results
- space group = R-3m, No. 166
- density of states at the Fermi level (states/eV/atom) = 0.326
- DFT total energy (eV/cell) = -12.52
- total moment (μB per atom) = 0.000

Lattice parameters (Å, degrees): 6.1225 6.1225 6.1225 41.67 41.67 41.67
Positions (direct):
Sr (0.2500, 0.2500, 0.2500)
Li (0.0524, 0.0524, 0.0524)
Li (0.4476, 0.4476, 0.4476)
As (0.7500, 0.7500, 0.7500)

=====

> total moment of number 3 (SrLi2As)?

0.000 μB per atom